DFT (GGA-PBE) results for a relaxed structure of GdMg3Ni.

Computed properties:
**Energy of formation from the pure elements**: -27 meV per atom

Cell lengths 4.8494, 4.8494, 4.8494 Å; angles 90.00, 90.00, 90.00 degrees
With the nearest neighbours (Å) after each atom.
Positions (direct):
Gd1 0.0000 0.0000 0.0000  12 Mg 3.43
Mg1 0.0000 0.5000 0.5000  2 Ni 2.42
Mg2 0.5000 0.0000 0.5000  2 Ni 2.42
Mg3 0.5000 0.5000 0.0000  2 Ni 2.42
Ni1 0.5000 0.5000 0.5000  6 Mg 2.42


DFT (GGA-PBE) results for a relaxed structure of GdMgNi4.

Computed properties:
**Energy of formation from the pure elements**: -377 meV per atom

Cell lengths 4.9680, 4.9680, 4.9680 Å; angles 60.00, 60.00, 60.00 degrees
With the nearest neighbours (Å) after each atom.
Positions (direct):
Gd1 0.0000 0.0000 0.0000  12 Ni 2.92, 4 Mg 3.04
Mg1 0.2500 0.2500 0.2500  12 Ni 2.91, 4 Gd 3.04
Ni1 0.1284 0.6239 0.6239  6 Ni 2.46-2.51
Ni2 0.6239 0.1284 0.6239  6 Ni 2.46-2.51
Ni3 0.6239 0.6239 0.1284  6 Ni 2.46-2.51
Ni4 0.6239 0.6239 0.6239  6 Ni 2.46-2.51


DFT (GGA-PBE) results for a relaxed structure of GdMg3Ni8.

Computed properties:
**Energy of formation from the pure elements**: -297 meV per atom

Cell lengths 8.5004, 8.5004, 8.5004 Å; angles 33.44, 33.44, 33.44 degrees
With the nearest neighbours (Å) after each atom.
Positions (direct):
Gd1 0.0000 0.0000 0.0000  12 Ni 2.87-2.93, 4 Mg 3.07-3.08
Mg1 0.1281 0.1281 0.1281  12 Ni 2.75-2.90, 3 Mg 2.95, 1 Gd 3.08
Mg2 0.4972 0.4972 0.4972  12 Ni 2.80-2.87, 4 Mg 2.88-2.95
Mg3 0.6170 0.6170 0.6170  12 Ni 2.80-3.07, 1 Mg 2.88, 3 Gd 3.07
Ni1 0.0614 0.0614 0.5573  6 Ni 2.43-2.47
Ni2 0.0614 0.5573 0.0614  6 Ni 2.43-2.47
Ni3 0.0640 0.5632 0.5632  6 Ni 2.42-2.50
Ni4 0.3109 0.3109 0.3109  6 Ni 2.46-2.50
Ni5 0.5573 0.0614 0.0614  6 Ni 2.43-2.47
Ni6 0.5632 0.0640 0.5632  6 Ni 2.42-2.50
Ni7 0.5632 0.5632 0.0640  6 Ni 2.42-2.50
Ni8 0.8117 0.8117 0.8117  6 Ni 2.42-2.43


DFT (GGA-PBE) results for a relaxed structure of GdMg2Ni9.

Computed properties:
**Energy of formation from the pure elements**: -275 meV per atom

Cell lengths 8.3373, 8.3373, 8.3373 Å; angles 33.96, 33.96, 33.96 degrees
With the nearest neighbours (Å) after each atom.
Positions (direct):
Gd1 0.0000 0.0000 0.0000  18 Ni 2.81-3.15
Mg1 0.1438 0.1438 0.1438  12 Ni 2.80-2.86, 3 Mg 3.01
Mg2 0.8562 0.8562 0.8562  12 Ni 2.80-2.86, 3 Mg 3.01
Ni1 0.0822 0.5859 0.5859  7 Ni 2.39-2.45
Ni2 0.3336 0.3336 0.3336  6 Ni 2.44
Ni3 0.4141 0.4141 0.9178  7 Ni 2.39-2.45
Ni4 0.4141 0.9178 0.4141  7 Ni 2.39-2.45
Ni5 0.5000 0.5000 0.5000  6 Ni 2.39
Ni6 0.5859 0.0822 0.5859  7 Ni 2.39-2.45
Ni7 0.5859 0.5859 0.0822  7 Ni 2.39-2.45
Ni8 0.6664 0.6664 0.6664  6 Ni 2.44
Ni9 0.9178 0.4141 0.4141  7 Ni 2.39-2.45


DFT (GGA-PBE) results for a relaxed structure of GdMgNiPd.

Computed properties:
**Energy of formation from the pure elements**: -488 meV per atom

Cell lengths 4.7267, 4.7267, 4.7267 Å; angles 60.00, 60.00, 60.00 degrees
With the nearest neighbours (Å) after each atom.
Positions (direct):
Gd1 0.0000 0.0000 0.0000  4 Ni 2.89, 4 Pd 2.89
Mg1 0.5000 0.5000 0.5000  4 Ni 2.89, 4 Pd 2.89
Ni1 0.7500 0.7500 0.7500  4 Gd 2.89, 4 Mg 2.89
Pd1 0.2500 0.2500 0.2500  4 Mg 2.89, 4 Gd 2.89


DFT (GGA-PBE) results for a relaxed structure of PrGdMgNi.

Computed properties:
**Energy of formation from the pure elements**: -56 meV per atom

Cell lengths 5.1830, 5.1830, 5.1830 Å; angles 60.00, 60.00, 60.00 degrees
With the nearest neighbours (Å) after each atom.
Positions (direct):
Pr1 0.0000 0.0000 0.0000  4 Mg 3.17, 4 Ni 3.17
Gd1 0.5000 0.5000 0.5000  4 Ni 3.17, 4 Mg 3.17
Mg1 0.7500 0.7500 0.7500  4 Gd 3.17, 4 Pr 3.17
Ni1 0.2500 0.2500 0.2500  4 Gd 3.17, 4 Pr 3.17


DFT (GGA-PBE) results for a relaxed structure of GdMgNiPt.

Computed properties:
**Energy of formation from the pure elements**: -629 meV per atom

Cell lengths 4.7140, 4.7140, 4.7140 Å; angles 60.00, 60.00, 60.00 degrees
With the nearest neighbours (Å) after each atom.
Positions (direct):
Gd1 0.0000 0.0000 0.0000  4 Ni 2.89, 4 Pt 2.89
Mg1 0.5000 0.5000 0.5000  4 Ni 2.89, 4 Pt 2.89
Ni1 0.2500 0.2500 0.2500  4 Gd 2.89, 4 Mg 2.89
Pt1 0.7500 0.7500 0.7500  4 Gd 2.89, 4 Mg 2.89


DFT (GGA-PBE) results for a relaxed structure of GdMgNiRh.

Computed properties:
**Energy of formation from the pure elements**: -439 meV per atom

Cell lengths 4.6526, 4.6526, 4.6526 Å; angles 60.00, 60.00, 60.00 degrees
With the nearest neighbours (Å) after each atom.
Positions (direct):
Gd1 0.0000 0.0000 0.0000  4 Ni 2.85, 4 Rh 2.85
Mg1 0.5000 0.5000 0.5000  4 Ni 2.85, 4 Rh 2.85
Ni1 0.7500 0.7500 0.7500  4 Gd 2.85, 4 Mg 2.85
Rh1 0.2500 0.2500 0.2500  4 Gd 2.85, 4 Mg 2.85


DFT (GGA-PBE) results for a relaxed structure of GdMgScNi.

Computed properties:
**Energy of formation from the pure elements**: -100 meV per atom

Cell lengths 4.9298, 4.9298, 4.9298 Å; angles 60.00, 60.00, 60.00 degrees
With the nearest neighbours (Å) after each atom.
Positions (direct):
Gd1 0.0000 0.0000 0.0000  4 Mg 3.02, 4 Ni 3.02
Mg1 0.7500 0.7500 0.7500  4 Sc 3.02, 4 Gd 3.02
Sc1 0.5000 0.5000 0.5000  4 Ni 3.02, 4 Mg 3.02
Ni1 0.2500 0.2500 0.2500  4 Sc 3.02, 4 Gd 3.02


DFT (GGA-PBE) results for a relaxed structure of TbGdMgNi.

Computed properties:
**Energy of formation from the pure elements**: -101 meV per atom

Cell lengths 5.0865, 5.0865, 5.0865 Å; angles 60.00, 60.00, 60.00 degrees
With the nearest neighbours (Å) after each atom.
Positions (direct):
Tb1 0.0000 0.0000 0.0000  4 Mg 3.11, 4 Ni 3.11
Gd1 0.5000 0.5000 0.5000  4 Ni 3.11, 4 Mg 3.11
Mg1 0.7500 0.7500 0.7500  4 Gd 3.11, 4 Tb 3.11
Ni1 0.2500 0.2500 0.2500  4 Gd 3.11, 4 Tb 3.11


DFT (GGA-PBE) results for a relaxed structure of Gd2MgO.

Computed properties:
**Formation energy without anion corrections**: -1.333 eV per atom

Cell lengths 8.4667, 8.4667, 8.4667 Å; angles 24.27, 24.27, 24.27 degrees
With the nearest neighbours (Å) after each atom.
Positions (direct):
Gd1 0.2216 0.2216 0.2216  3 O 2.46
Gd2 0.7784 0.7784 0.7784  3 O 2.46
Mg1 0.0000 0.0000 0.0000  6 Gd 3.44, 6 Mg 3.56
O1 0.5000 0.5000 0.5000  6 Gd 2.46


DFT (GGA-PBE) results for a relaxed structure of GdMgO2.

Computed properties:
**Formation energy without anion corrections**: -2.571 eV per atom

Cell lengths 5.9019, 5.9019, 5.9019 Å; angles 31.34, 31.34, 31.34 degrees
With the nearest neighbours (Å) after each atom.
Positions (direct):
Gd1 0.0000 0.0000 0.0000  6 O 2.46
Mg1 0.5000 0.5000 0.5000  6 O 2.18
O1 0.2362 0.2362 0.2362  3 Mg 2.18
O2 0.7638 0.7638 0.7638  3 Mg 2.18


| no. | raw total energy (eV for the cell shown) |
| --- | --- |
| 1 | -24.8 |
| 2 | -41.1 |
| 3 | -68.7 |
| 4 | -72.6 |
| 5 | -28.6 |
| 6 | -26.5 |
| 7 | -30.0 |
| 8 | -30.6 |
| 9 | -28.2 |
| 10 | -26.5 |
| 11 | -40.0 |
| 12 | -35.9 |